Density functional theory data (PBE) for an optimized crystal structure of BaSb2Os.

Cell: 5.7418 5.7418 5.7418 Å, 131.57 131.57 70.91°
Fractional positions:
Ba  0.0000  0.0000  0.0000
Sb  0.5000  0.5000  0.0000
Sb  0.7500  0.2500  0.5000
Os  0.2500  0.7500  0.5000

Computed properties:
Theoretical density, g/cm3: 9.14
Total energy, eV for the cell shown: -18.88
DOS at the Fermi energy, states/eV/atom: 1.218
Raw formation energy, eV per atom: 0.63